(1)
Entry from Alexandria: an optimized crystal structure of Ce2PuZr (GGA-PBE).

## Properties
The symmetry is No. 225. The formation energy is 159 meV/atom. Its crystal system is cubic. As for the distance to the lowest polymorph of the same formula: 48 meV/atom. The raw total energy comes out at -8.53 eV/atom. Its theoretical density is 9.98 g cm⁻³.

Cell: 5.252 5.252 5.252 Å, 60.00 60.00 60.00°
Atoms (fractional coordinates):
1 Ce 0.250 0.250 0.250
2 Ce 0.750 0.750 0.750
3 Pu 0.000 0.000 0.000
4 Zr 0.500 0.500 0.500

---

(2)
Entry from Alexandria: an optimized crystal structure of Nb4SiTe4 (GGA-PBE).

## Properties
The symmetry is No. 55. Its crystal system is orthorhombic. The raw total energy comes out at -7.12 eV/atom. Its theoretical density is 5.89 g cm⁻³.

Cell: 11.032 19.087 4.875 Å, 90.00 90.00 90.00°
Atoms (fractional coordinates):
1 Nb 0.063 0.116 0.000
2 Nb 0.098 0.892 0.500
3 Nb 0.187 0.057 0.500
4 Nb 0.202 0.964 0.000
5 Nb 0.298 0.464 0.000
6 Nb 0.313 0.557 0.500
7 Nb 0.402 0.392 0.500
8 Nb 0.437 0.616 0.000
9 Nb 0.563 0.384 0.000
10 Nb 0.598 0.608 0.500
11 Nb 0.687 0.443 0.500
12 Nb 0.702 0.536 0.000
13 Nb 0.798 0.036 0.000
14 Nb 0.813 0.943 0.500
15 Nb 0.902 0.108 0.500
16 Nb 0.937 0.884 0.000
17 Si 0.000 0.000 0.250
18 Si 0.000 0.000 0.750
19 Si 0.500 0.500 0.250
20 Si 0.500 0.500 0.750
21 Te 0.107 0.199 0.500
22 Te 0.156 0.438 0.500
23 Te 0.167 0.816 0.000
24 Te 0.181 0.597 0.000
25 Te 0.319 0.097 0.000
26 Te 0.333 0.316 0.000
27 Te 0.344 0.938 0.500
28 Te 0.393 0.699 0.500
29 Te 0.607 0.301 0.500
30 Te 0.656 0.062 0.500
31 Te 0.667 0.684 0.000
32 Te 0.681 0.903 0.000
33 Te 0.819 0.403 0.000
34 Te 0.833 0.184 0.000
35 Te 0.844 0.562 0.500
36 Te 0.893 0.801 0.500